Record 1
A plane-wave DFT calculation with PBE was carried out for a relaxed structure of Pa2GaCl8.

Calculated values
For the total energy, the calculation gives -4.84 eV per atom. As for the formation energy (no corrections): -1496 meV per atom.

Geometry as POSCAR:
```
Pa2GaCl8
1.0
7.839 -5.634 0.000
7.839 5.634 0.000
-1.508 0.000 5.168
Pa Ga Cl
2 1 8
Direct
0.202 0.202 0.198
0.798 0.798 0.802
0.000 0.000 0.000
0.066 0.637 0.842
0.170 0.170 0.672
0.363 0.934 0.158
0.369 0.369 0.341
0.631 0.631 0.659
0.637 0.066 0.842
0.830 0.830 0.328
0.934 0.363 0.158
```

Record 2
A plane-wave DFT calculation with PBE was carried out for a relaxed structure of Ti2Tc2Rh.

Calculated values
For the total energy, the calculation gives -8.84 eV per atom. As for the formation energy: -0.32 eV/f.u.

Geometry as POSCAR:
```
Ti2Tc2Rh
1.0
7.134 0.000 0.000
0.000 7.134 0.000
0.000 0.000 3.083
Ti Tc Rh
4 4 2
Direct
0.190 0.310 0.000
0.310 0.810 0.000
0.690 0.190 0.000
0.810 0.690 0.000
0.119 0.619 0.500
0.381 0.119 0.500
0.619 0.881 0.500
0.881 0.381 0.500
0.000 0.000 0.500
0.500 0.500 0.500
```

Record 3
A plane-wave DFT calculation with PBE was carried out for a relaxed structure of Cs2TmHI6.

Calculated values
For the total energy, the calculation gives -3.02 eV per atom.

Geometry as POSCAR:
```
Cs2TmHI6
1.0
4.861 -6.775 0.000
4.861 6.775 0.000
-4.488 0.000 6.787
Cs Tm H I
2 1 1 6
Direct
0.230 0.770 0.000
0.770 0.230 0.000
0.500 0.500 0.500
0.000 0.000 0.500
0.136 0.136 0.395
0.281 0.719 0.500
0.330 0.330 0.067
0.670 0.670 0.933
0.719 0.281 0.500
0.864 0.864 0.605
```

Record 4
A plane-wave DFT calculation with PBE was carried out for a relaxed structure of Er4TlSb3.

Calculated values
For the total energy, the calculation gives -4.92 eV per atom. As for the formation energy (no corrections): -802 meV per atom.

Geometry as POSCAR:
```
Er4TlSb3
1.0
6.164 0.000 0.000
0.000 6.164 0.000
0.000 0.000 6.164
Er Tl Sb
4 1 3
Direct
0.000 0.000 0.000
0.000 0.500 0.500
0.500 0.000 0.500
0.500 0.500 0.000
0.500 0.500 0.500
0.000 0.000 0.500
0.000 0.500 0.000
0.500 0.000 0.000
```

Record 5
A plane-wave DFT calculation with PBE was carried out for a relaxed structure of AcSn3Au2.

Calculated values
For the total energy, the calculation gives -4.24 eV per atom. As for the formation energy: -2.78 eV/f.u.

Geometry as POSCAR:
```
AcSn3Au2
1.0
8.640 -2.321 0.000
8.640 2.321 0.000
-2.800 0.000 7.951
Ac Sn Au
2 6 4
Direct
0.130 0.130 0.110
0.870 0.870 0.890
0.027 0.027 0.677
0.334 0.334 0.171
0.340 0.340 0.557
0.660 0.660 0.443
0.666 0.666 0.829
0.973 0.973 0.323
0.198 0.198 0.657
0.497 0.497 0.832
0.503 0.503 0.168
0.802 0.802 0.343
```

Record 6
A plane-wave DFT calculation with PBE was carried out for a relaxed structure of CaAg2BBr.

Calculated values
For the total energy, the calculation gives -2.09 eV per atom. As for the formation energy (no corrections): 1125 meV per atom.

Geometry as POSCAR:
```
CaAg2BBr
1.0
5.805 0.000 0.000
0.000 5.805 0.000
0.000 0.000 5.363
Ca Ag B Br
1 2 1 1
Direct
0.000 0.000 0.000
0.000 0.500 0.000
0.500 0.000 0.000
0.500 0.500 0.500
0.000 0.000 0.500
```

Record 7
A plane-wave DFT calculation with PBE was carried out for a relaxed structure of Mg3SnS.

Calculated values
For the total energy, the calculation gives -2.49 eV per atom. As for the formation energy (no corrections): 97 meV per atom. As for the offset from the most stable computed form: 443.4 meV/atom.

Geometry as POSCAR:
```
Mg3SnS
1.0
5.244 0.000 0.000
0.000 5.244 0.000
0.000 0.000 5.244
Mg Sn S
3 1 1
Direct
0.000 0.000 0.500
0.000 0.500 0.000
0.500 0.000 0.000
0.000 0.000 0.000
0.500 0.500 0.500
```

Record 8
A plane-wave DFT calculation with PBE was carried out for a relaxed structure of TbPm5Tl4.

Calculated values
For the total energy, the calculation gives -3.84 eV per atom. As for the offset from the most stable computed form: 234.7 meV/atom. As for the formation energy: -0.59 eV/f.u.

Geometry as POSCAR:
```
TbPm5Tl4
1.0
8.171 0.000 0.000
0.000 9.446 0.000
0.000 0.000 8.814
Tb Pm Tl
2 10 8
Direct
0.250 0.250 0.182
0.750 0.750 0.818
0.006 0.556 0.227
0.006 0.944 0.227
0.250 0.750 0.580
0.494 0.556 0.227
0.494 0.944 0.227
0.506 0.056 0.773
0.506 0.444 0.773
0.750 0.250 0.420
0.994 0.056 0.773
0.994 0.444 0.773
0.078 0.750 0.936
0.250 0.086 0.498
0.250 0.414 0.498
0.422 0.750 0.936
0.578 0.250 0.064
0.750 0.586 0.502
0.750 0.914 0.502
0.922 0.250 0.064
```